1.
## K2HgSeO (PBE)

Data for a relaxed K2HgSeO crystal.

Cell lengths 5.500, 5.500, 4.274 Å; angles 90.00, 90.00, 90.00 degrees
Fractional coordinates of all 5 atoms:
1 K 0.000 0.500 0.000
2 K 0.500 0.000 0.000
3 Hg 0.000 0.000 0.500
4 Se 0.500 0.500 0.500
5 O 0.500 0.500 0.000

Computed properties:
SG: No. 123
DOS(E_F): 1.985 states/eV per cell


2.
## KHgSe2O8 (PBE)

Data for a relaxed KHgSe2O8 crystal.

Cell lengths 9.048, 9.048, 9.048 Å; angles 33.49, 33.49, 33.49 degrees
Fractional coordinates of all 12 atoms:
1 K 0.000 0.000 0.000
2 Hg 0.500 0.500 0.500
3 Se 0.244 0.244 0.244
4 Se 0.756 0.756 0.756
5 O 0.079 0.789 0.465
6 O 0.211 0.535 0.921
7 O 0.309 0.309 0.309
8 O 0.465 0.079 0.789
9 O 0.535 0.921 0.211
10 O 0.691 0.691 0.691
11 O 0.789 0.465 0.079
12 O 0.921 0.211 0.535

Computed properties:
SG: No. 148
DOS(E_F): 7.291 states/eV per cell


3.
## K2SnHgO4 (PBE)

Data for a relaxed K2SnHgO4 crystal.

Cell lengths 5.718, 5.718, 6.107 Å; angles 118.30, 118.30, 87.39 degrees
Fractional coordinates of all 8 atoms:
1 K 0.000 0.000 0.000
2 K 0.761 0.239 0.500
3 Sn 0.292 0.708 0.500
4 Hg 0.491 0.509 0.000
5 O 0.285 0.382 0.552
6 O 0.404 0.024 0.886
7 O 0.618 0.715 0.448
8 O 0.976 0.596 0.114

Computed properties:
SG: No. 5


4.
## KTa2Hg2O7 (PBE)

Data for a relaxed KTa2Hg2O7 crystal.

Cell lengths 9.161, 9.161, 9.161 Å; angles 39.86, 39.86, 39.86 degrees
Fractional coordinates of all 12 atoms:
1 K 0.000 0.000 0.000
2 Ta 0.424 0.424 0.424
3 Ta 0.576 0.576 0.576
4 Hg 0.282 0.282 0.282
5 Hg 0.718 0.718 0.718
6 O 0.119 0.400 0.675
7 O 0.325 0.600 0.881
8 O 0.400 0.675 0.119
9 O 0.500 0.500 0.500
10 O 0.600 0.881 0.325
11 O 0.675 0.119 0.400
12 O 0.881 0.325 0.600

Computed properties:
SG: No. 155
DOS(E_F): 3.471 states/eV per cell


What VASP energy values result from the calculations? In sequence: -2.88; -4.68; -4.55; -6.80 eV/atom.
What energy relative to the elements, uncorrected values result from the calculations? In sequence: -0.688; -0.673; -1.258; -1.794 eV/atom.